# 1
A relaxed structure of Ti2AgMo. Source: the Alexandria database, functional PBE.

```
Ti2AgMo
1.0
2.749 0.000 0.000
0.000 4.987 0.000
0.000 0.000 10.254
Ti Ag Mo
4 2 2
Direct
0.000 0.000 0.245 Ti
0.000 0.000 0.755 Ti
0.500 0.500 0.255 Ti
0.500 0.500 0.745 Ti
0.000 0.000 0.500 Ag
0.500 0.500 0.000 Ag
0.000 0.000 0.000 Mo
0.500 0.500 0.500 Mo
```

As for the space group: Immm. The calculation puts the density of states at the Fermi level at 0.91 states/eV per atom. The offset from the most stable computed form is 640 meV/atom. The formation energy comes out at 544 meV per atom.

***

# 2
A relaxed structure of TiAg2Mo. Source: the Alexandria database, functional PBE.

```
TiAg2Mo
1.0
6.494 0.000 0.000
0.000 6.494 0.000
0.000 0.000 6.494
Ti Ag Mo
4 8 4
Direct
0.000 0.000 0.000 Ti
0.000 0.500 0.500 Ti
0.500 0.000 0.500 Ti
0.500 0.500 0.000 Ti
0.250 0.250 0.250 Ag
0.250 0.250 0.750 Ag
0.250 0.750 0.250 Ag
0.250 0.750 0.750 Ag
0.750 0.250 0.250 Ag
0.750 0.250 0.750 Ag
0.750 0.750 0.250 Ag
0.750 0.750 0.750 Ag
0.000 0.000 0.500 Mo
0.000 0.500 0.000 Mo
0.500 0.000 0.000 Mo
0.500 0.500 0.500 Mo
```

As for the space group: Fm-3m. The calculation puts the density of states at the Fermi level at 0.94 states/eV per atom. The offset from the most stable computed form is 0 meV/atom. The formation energy comes out at 559 meV per atom.

***

# 3
A relaxed structure of Ti2AgMo. Source: the Alexandria database, functional PBE.

```
Ti2AgMo
1.0
3.226 0.000 0.000
0.000 3.226 0.000
0.000 0.000 6.421
Ti Ag Mo
2 1 1
Direct
0.000 0.000 0.224 Ti
0.000 0.000 0.776 Ti
0.500 0.500 0.500 Ag
0.500 0.500 0.000 Mo
```

As for the space group: P4/mmm. The calculation puts the density of states at the Fermi level at 1.10 states/eV per atom. The offset from the most stable computed form is 0 meV/atom. The formation energy comes out at -97 meV per atom.

***

# 4
A relaxed structure of Ti2AgMo. Source: the Alexandria database, functional PBE.

```
Ti2AgMo
1.0
4.467 0.000 0.000
0.000 4.467 0.000
0.000 0.000 3.274
Ti Ag Mo
2 1 1
Direct
0.000 0.500 0.000 Ti
0.500 0.000 0.000 Ti
0.000 0.000 0.500 Ag
0.500 0.500 0.500 Mo
```

As for the space group: P4/mmm. The calculation puts the density of states at the Fermi level at 0.93 states/eV per atom. The offset from the most stable computed form is 97 meV/atom. The formation energy comes out at 0 meV per atom.

***

# 5
A relaxed structure of TiAgMo. Source: the Alexandria database, functional PBE.

```
TiAgMo
1.0
2.795 0.000 0.000
0.000 4.295 0.000
-0.907 0.000 8.369
Ti Ag Mo
2 2 2
Direct
0.094 0.250 0.238 Ti
0.906 0.750 0.762 Ti
0.291 0.250 0.587 Ag
0.709 0.750 0.413 Ag
0.384 0.750 0.069 Mo
0.616 0.250 0.931 Mo
```

As for the space group: P2_1/m. The calculation puts the density of states at the Fermi level at 1.16 states/eV per atom. The offset from the most stable computed form is 0 meV/atom. The formation energy comes out at 60 meV per atom.

***

# 6
A relaxed structure of Ti2Ag2Mo. Source: the Alexandria database, functional PBE.

```
Ti2Ag2Mo
1.0
6.661 0.000 0.000
0.000 6.661 0.000
0.000 0.000 3.976
Ti Ag Mo
4 4 2
Direct
0.156 0.344 0.000 Ti
0.344 0.844 0.000 Ti
0.656 0.156 0.000 Ti
0.844 0.656 0.000 Ti
0.150 0.650 0.500 Ag
0.350 0.150 0.500 Ag
0.650 0.850 0.500 Ag
0.850 0.350 0.500 Ag
0.000 0.000 0.000 Mo
0.500 0.500 0.000 Mo
```

As for the space group: P4/mbm. The calculation puts the density of states at the Fermi level at 0.43 states/eV per atom. The offset from the most stable computed form is 0 meV/atom. The formation energy comes out at 364 meV per atom.

***

# 7
A relaxed structure of Ti2ZnAgMo. Source: the Alexandria database, functional PBE.

```
Ti2ZnAgMo
1.0
4.641 0.000 0.000
0.000 4.641 0.000
0.000 0.000 4.628
Ti Zn Ag Mo
2 1 1 1
Direct
0.000 0.500 0.000 Ti
0.500 0.000 0.000 Ti
0.000 0.000 0.000 Zn
0.500 0.500 0.500 Ag
0.000 0.000 0.500 Mo
```

As for the space group: P4/mmm. The calculation puts the density of states at the Fermi level at 1.22 states/eV per atom. The formation energy comes out at 1095 meV per atom.

***

# 8
A relaxed structure of ZrTiAgMo. Source: the Alexandria database, functional PBE.

```
ZrTiAgMo
1.0
6.598 0.000 0.000
0.000 6.598 0.000
0.000 0.000 6.598
Zr Ti Ag Mo
4 4 4 4
Direct
0.000 0.000 0.000 Zr
0.000 0.500 0.500 Zr
0.500 0.000 0.500 Zr
0.500 0.500 0.000 Zr
0.000 0.000 0.500 Ti
0.000 0.500 0.000 Ti
0.500 0.000 0.000 Ti
0.500 0.500 0.500 Ti
0.250 0.250 0.750 Ag
0.250 0.750 0.250 Ag
0.750 0.250 0.250 Ag
0.750 0.750 0.750 Ag
0.250 0.250 0.250 Mo
0.250 0.750 0.750 Mo
0.750 0.250 0.750 Mo
0.750 0.750 0.250 Mo
```

As for the space group: F-43m. The calculation puts the density of states at the Fermi level at 0.71 states/eV per atom. The formation energy comes out at 24 meV per atom.

***

Please write out number 2 again, unchanged.
A relaxed structure of TiAg2Mo. Source: the Alexandria database, functional PBE.

```
TiAg2Mo
1.0
6.494 0.000 0.000
0.000 6.494 0.000
0.000 0.000 6.494
Ti Ag Mo
4 8 4
Direct
0.000 0.000 0.000 Ti
0.000 0.500 0.500 Ti
0.500 0.000 0.500 Ti
0.500 0.500 0.000 Ti
0.250 0.250 0.250 Ag
0.250 0.250 0.750 Ag
0.250 0.750 0.250 Ag
0.250 0.750 0.750 Ag
0.750 0.250 0.250 Ag
0.750 0.250 0.750 Ag
0.750 0.750 0.250 Ag
0.750 0.750 0.750 Ag
0.000 0.000 0.500 Mo
0.000 0.500 0.000 Mo
0.500 0.000 0.000 Mo
0.500 0.500 0.500 Mo
```

As for the space group: Fm-3m. The calculation puts the density of states at the Fermi level at 0.94 states/eV per atom. The offset from the most stable computed form is 0 meV/atom. The formation energy comes out at 559 meV per atom.